{
  "formula": "Tb2Al12Cu7",
  "functional": "GGA-PBE",
  "state": "optimized geometry",
  "sg": "No. 147",
  "lattice_angstrom": [[10.0159, 0.0000, 0.0000], [-5.0079, 8.6740, 0.0000], [0.0000, 0.0000, 3.9388]],
  "species": ["Tb", "Tb", "Al", "Al", "Al", "Al", "Al", "Al", "Al", "Al", "Al", "Al", "Al", "Al", "Cu", "Cu", "Cu", "Cu", "Cu", "Cu", "Cu"],
  "fractional_positions": [[0.3333, 0.6667, 0.2613], [0.6667, 0.3333, 0.7387], [0.0499, 0.4340, 0.7515], [0.1144, 0.2654, 0.2544], [0.1511, 0.8856, 0.2544], [0.2654, 0.1511, 0.7456], [0.3841, 0.9501, 0.7515], [0.4340, 0.3841, 0.2485], [0.5660, 0.6159, 0.7515], [0.6159, 0.0499, 0.2485], [0.7346, 0.8489, 0.2544], [0.8489, 0.1144, 0.7456], [0.8856, 0.7346, 0.7456], [0.9501, 0.5660, 0.2485], [0.0000, 0.0000, 0.5000], [0.1224, 0.7099, 0.7560], [0.2901, 0.4125, 0.7560], [0.4125, 0.1224, 0.2440], [0.5875, 0.8776, 0.7560], [0.7099, 0.5875, 0.2440], [0.8776, 0.2901, 0.2440]]
}

{
  "formula": "Pm2YHo8",
  "functional": "GGA-PBE",
  "state": "optimized geometry",
  "sg": "No. 12",
  "lattice_angstrom": [[8.2640, -3.3072, 0.0000], [8.2640, 3.3072, 0.0000], [-1.1409, 0.0000, 6.5355]],
  "species": ["Pm", "Pm", "Y", "Ho", "Ho", "Ho", "Ho", "Ho", "Ho", "Ho", "Ho"],
  "fractional_positions": [[0.2446, 0.2446, 0.3107], [0.7554, 0.7554, 0.6893], [0.0000, 0.0000, 0.0000], [0.1739, 0.6511, 0.5969], [0.2005, 0.2005, 0.8021], [0.3489, 0.8261, 0.4031], [0.4116, 0.4116, 0.0955], [0.5884, 0.5884, 0.9045], [0.6511, 0.1739, 0.5969], [0.7995, 0.7995, 0.1979], [0.8261, 0.3489, 0.4031]]
}

no.,M_tot (μB per formula unit),formation energy from the elements (eV/f.u.),electronic total energy (eV/f.u.)
1,0.0,-6.31,-89.15
2,0.0,1.88,-50.71